## Nd3InAu (PBE)

Data for a relaxed Nd3InAu crystal.

Cell lengths 9.376, 9.376, 11.678 Å; angles 61.50, 61.50, 43.87 degrees
Fractional coordinates of all 20 atoms:
Nd 0.825 0.794 0.785
Nd 0.206 0.175 0.715
Nd 0.175 0.206 0.215
Nd 0.794 0.825 0.285
Nd 0.605 0.633 0.736
Nd 0.367 0.395 0.764
Nd 0.395 0.367 0.264
Nd 0.633 0.605 0.236
Nd 0.265 0.860 0.047
Nd 0.140 0.735 0.453
Nd 0.860 0.265 0.547
Nd 0.735 0.140 0.953
In 0.846 0.388 0.984
In 0.612 0.154 0.516
In 0.154 0.612 0.016
In 0.388 0.846 0.484
Au 0.000 0.500 0.500
Au 0.500 0.000 0.000
Au 0.868 0.132 0.250
Au 0.132 0.868 0.750

Output
N(E_F): 0.9321 states/eV per atom
calculated volume: 30.51 Å³ per atom
energy of formation: -0.39 eV per atom